1.
A relaxed K2V2Hg crystal, computed with PBE-GGA.

```
K2V2Hg
1.0
-2.917 7.040 6.873
-9.656 -3.423 -0.593
0.587 -2.067 2.366
K Hg V
4 2 4
Direct
0.217 0.717 0.500
0.783 0.283 0.500
0.717 0.783 0.500
0.283 0.217 0.500
0.500 0.500 0.000
0.000 0.000 0.000
0.562 0.062 0.000
0.062 0.438 0.000
0.438 0.938 0.000
0.938 0.562 0.000
```

Values from the calculation:
DFT formation energy = 0.89 eV per atom
ΔE to the lowest computed polymorph = 0.0 meV per atom
calculated volume = 337 Å³ per cell


2.
A relaxed KVHg2 crystal, computed with PBE-GGA.

```
KVHg2
1.0
5.606 0.000 0.000
0.000 5.606 0.000
2.803 2.803 9.398
Hg K V
4 2 2
Direct
0.969 0.625 0.250
0.375 0.219 0.750
0.781 0.125 0.250
0.875 0.031 0.750
0.500 0.500 0.000
0.250 0.750 0.500
0.750 0.250 0.500
0.000 0.000 0.000
```

Values from the calculation:
DFT formation energy = 0.51 eV per atom
ΔE to the lowest computed polymorph = 44.9 meV per atom
calculated volume = 295 Å³ per cell


> DFT formation energy of number 2 (KVHg2)?

0.51 eV per atom